DFT (PBE) results for an optimized crystal structure of Rb2InRhO4.

E_tot: -4.961 eV/atom
E_form (uncorrected): -0.9787 eV per atom

Lattice parameters (Å, degrees): 6.1457 7.6687 11.1621 83.67 74.02 66.38
Closest atoms and distances in Å follow each position.
Fractional coordinates of all 16 atoms:
In1 0.7500 0.5000 0.5000  4 O 2.12
In2 0.0000 0.0000 0.0000  4 O 2.12
Rb1 0.1821 0.0000 0.6357  2 O 2.67
Rb2 0.8179 0.0000 0.3643  2 O 2.67
Rb3 0.9321 0.5000 0.1357  2 O 2.67
Rb4 0.5679 0.5000 0.8643  2 O 2.67
O1 0.5750 0.3083 0.5088  1 Rh 1.97, 1 In 2.12
O2 0.1750 0.1917 0.9912  1 Rh 1.97, 1 In 2.12
O3 0.3921 0.6917 0.4912  1 Rh 1.97, 1 In 2.12
O4 0.3579 0.8083 0.0088  1 Rh 1.97, 1 In 2.12
O5 0.6333 0.1917 0.0088  1 Rh 1.97, 1 In 2.12
O6 0.8338 0.8083 0.9912  1 Rh 1.97, 1 In 2.12
O7 0.9162 0.6917 0.5088  1 Rh 1.97, 1 In 2.12
O8 0.1167 0.3083 0.4912  1 Rh 1.97, 1 In 2.12
Rh1 0.5000 0.0000 0.0000  4 O 1.97
Rh2 0.2500 0.5000 0.5000  4 O 1.97

***

DFT (PBE) results for an optimized crystal structure of RbIn2RuO8.

E_tot: -5.460 eV/atom
E_form (uncorrected): -0.8443 eV per atom

Lattice parameters (Å, degrees): 5.2036 4.4329 7.1241 89.77 89.96 90.86
Closest atoms and distances in Å follow each position.
Fractional coordinates of all 12 atoms:
O1 0.5140 0.7659 0.4997  1 O 2.08, 2 In 2.19-2.20
O2 0.8590 0.2454 0.1814  1 Ru 1.85
O3 0.1410 0.7546 0.8186  1 Ru 1.85
O4 0.1389 0.7525 0.1825  1 Ru 1.85
O5 0.6763 0.7520 0.9995  1 Ru 2.00, 2 In 2.23
O6 0.3237 0.2480 0.0005  1 Ru 2.00, 2 In 2.23
O7 0.4860 0.2341 0.5003  1 O 2.08, 2 In 2.19-2.20
O8 0.8611 0.2475 0.8175  1 Ru 1.85
Rb1 0.0000 0.0000 0.5000  8 O 2.62-2.88
Ru1 0.0000 0.0000 0.0000  6 O 1.85-2.00
In1 0.5002 0.4996 0.7599  6 O 2.19-2.24
In2 0.4998 0.5004 0.2401  6 O 2.19-2.24

***

DFT (PBE) results for an optimized crystal structure of RbInRuO6.

E_tot: -5.688 eV/atom
E_form (uncorrected): -0.9398 eV per atom

Lattice parameters (Å, degrees): 5.5787 5.5782 6.0962 90.00 89.99 59.99
Closest atoms and distances in Å follow each position.
Fractional coordinates of all 9 atoms:
O1 0.5760 0.3856 0.6831  1 Ru 1.89
O2 0.3856 0.0384 0.6831  1 Ru 1.89
O3 0.0383 0.5760 0.6831  1 Ru 1.89
O4 0.5760 0.0384 0.3169  1 Ru 1.89
O5 0.0384 0.3856 0.3169  1 Ru 1.89
O6 0.3856 0.5760 0.3169  1 Ru 1.89
Ru1 0.3333 0.3334 0.5000  6 O 1.89
In1 0.6666 0.6666 0.5000  6 O 2.18
Rb1 0.0000 0.0000 0.0000  6 O 2.98

***

DFT (PBE) results for an optimized crystal structure of Rb2InSO6.

E_tot: -5.014 eV/atom
E_form (uncorrected): -1.1586 eV per atom

Lattice parameters (Å, degrees): 5.4035 6.3070 6.3070 120.00 90.00 90.00
Closest atoms and distances in Å follow each position.
Fractional coordinates of all 10 atoms:
O1 0.1844 0.8739 0.7478  1 S 1.70
O2 0.8156 0.7478 0.8739  1 S 1.70
O3 0.8156 0.1261 0.2522  1 S 1.70
O4 0.1844 0.8739 0.1261  1 S 1.70
O5 0.8156 0.1261 0.8739  1 S 1.70
O6 0.1844 0.2522 0.1261  1 S 1.70
Rb1 0.1500 0.3333 0.6667  9 O 2.90-3.19
Rb2 0.8500 0.6667 0.3333  9 O 2.90-3.19
In1 0.5000 0.0000 0.0000  6 O 2.19
S1 0.0000 0.0000 0.0000  6 O 1.70

***

DFT (PBE) results for an optimized crystal structure of Rb2In2Sb2O.

E_tot: -3.621 eV/atom
E_form (uncorrected): -0.6756 eV per atom

Lattice parameters (Å, degrees): 4.6091 7.2148 8.0197 67.97 73.30 71.37
Closest atoms and distances in Å follow each position.
Fractional coordinates of all 7 atoms:
In1 0.1725 0.7200 0.9351  1 O 2.12
In2 0.8275 0.2800 0.0649  1 O 2.12
Sb1 0.8094 0.6492 0.7321  3 In 2.91-2.98
Sb2 0.1906 0.3508 0.2679  3 In 2.91-2.98
Rb1 0.4517 0.8075 0.2891  2 O 3.19
Rb2 0.5483 0.1925 0.7109  2 O 3.19
O1 0.0000 0.0000 0.0000  2 In 2.12

***

DFT (PBE) results for an optimized crystal structure of Rb3ScIn2O6.

E_tot: -5.560 eV/atom
E_form (uncorrected): -1.8550 eV per atom

Lattice parameters (Å, degrees): 5.8238 5.8238 6.7511 98.26 98.26 120.00
Closest atoms and distances in Å follow each position.
Fractional coordinates of all 12 atoms:
O1 0.3822 0.0580 0.1737  1 Sc 2.20, 2 In 2.27
O2 0.9420 0.6178 0.8263  1 Sc 2.20, 2 In 2.27
O3 0.2661 0.2661 0.8259  1 Sc 2.20, 2 In 2.27
O4 0.7339 0.7339 0.1741  1 Sc 2.20, 2 In 2.27
O5 0.0580 0.3822 0.1737  1 Sc 2.20, 2 In 2.27
O6 0.6178 0.9420 0.8263  1 Sc 2.20, 2 In 2.27
In1 0.3334 0.6666 0.0000  6 O 2.27
In2 0.6666 0.3334 0.0000  6 O 2.27
Rb1 0.8323 0.1677 0.5000  6 O 2.85-2.90
Rb2 0.5000 0.5000 0.5000  6 O 2.85-2.90
Rb3 0.1677 0.8323 0.5000  6 O 2.85-2.90
Sc1 0.0000 0.0000 0.0000  6 O 2.20

***

DFT (PBE) results for an optimized crystal structure of RbInSe2O8.

E_tot: -5.271 eV/atom
E_form (uncorrected): -1.0764 eV per atom

Lattice parameters (Å, degrees): 5.2182 5.2182 8.6506 85.70 85.70 65.58
Closest atoms and distances in Å follow each position.
Fractional coordinates of all 12 atoms:
O1 0.7533 0.7533 0.0419  1 Se 1.68
O2 0.7540 0.2720 0.1868  1 Se 1.69
O3 0.7280 0.2460 0.8132  1 Se 1.69
O4 0.3063 0.3063 0.6303  1 Se 1.64
O5 0.2460 0.7280 0.8132  1 Se 1.69
O6 0.6937 0.6937 0.3697  1 Se 1.64
O7 0.2720 0.7540 0.1868  1 Se 1.69
O8 0.2467 0.2467 0.9581  1 Se 1.68
In1 0.0000 0.0000 0.0000  6 O 2.16-2.19
Rb1 0.0000 0.0000 0.5000  6 O 3.01-3.07
Se1 0.6262 0.6262 0.1988  4 O 1.64-1.69
Se2 0.3738 0.3738 0.8012  4 O 1.64-1.69

***

DFT (PBE) results for an optimized crystal structure of RbInSi2O6.

E_tot: -6.691 eV/atom
E_form (uncorrected): -2.2611 eV per atom

Lattice parameters (Å, degrees): 5.4945 7.8287 7.8287 95.22 78.59 78.59
Closest atoms and distances in Å follow each position.
Fractional coordinates of all 20 atoms:
O1 0.7491 0.7322 0.9922  1 Si 1.63
O2 0.1367 0.6823 0.7121  2 Si 1.66-1.67
O3 0.7509 0.0078 0.2678  1 Si 1.63
O4 0.0976 0.5792 0.2304  1 Si 1.63
O5 0.9024 0.4208 0.7696  1 Si 1.63
O6 0.2491 0.9922 0.7322  1 Si 1.63
O7 0.4024 0.7696 0.4208  1 Si 1.63
O8 0.3633 0.2879 0.3177  2 Si 1.66-1.67
O9 0.2509 0.2678 0.0078  1 Si 1.63
O10 0.6367 0.7121 0.6823  2 Si 1.66-1.67
O11 0.5976 0.2304 0.5792  1 Si 1.63
O12 0.8633 0.3177 0.2879  2 Si 1.66-1.67
Si1 0.8566 0.6341 0.7912  4 O 1.63-1.67
Si2 0.3566 0.7912 0.6341  4 O 1.63-1.67
Si3 0.1434 0.3659 0.2088  4 O 1.63-1.67
Si4 0.6434 0.2088 0.3659  4 O 1.63-1.67
Rb1 0.2500 0.9009 0.0991  6 O 2.72-3.02
Rb2 0.7500 0.0991 0.9009  6 O 2.72-3.02
In1 0.2500 0.2615 0.7385  4 O 2.02-2.11
In2 0.7500 0.7385 0.2615  4 O 2.02-2.11

***

DFT (PBE) results for an optimized crystal structure of RbInSiO2.

E_tot: -4.153 eV/atom
E_form (uncorrected): -0.3444 eV per atom

Lattice parameters (Å, degrees): 4.1923 4.9302 4.1923 90.00 90.00 90.00
Closest atoms and distances in Å follow each position.
Fractional coordinates of all 5 atoms:
O1 0.5000 0.0000 0.0000  2 Si 2.10
O2 0.0000 0.0000 0.5000  2 Si 2.10
Si1 0.0000 0.0000 0.0000  4 O 2.10
Rb1 0.5000 0.5000 0.5000  4 In 2.96, 8 O 3.24
In1 0.0000 0.5000 0.0000  2 Si 2.47

***

DFT (PBE) results for an optimized crystal structure of Rb4Sm3InO8.

E_tot: -6.072 eV/atom
E_form (uncorrected): -2.2955 eV per atom

Lattice parameters (Å, degrees): 7.1221 7.7613 7.1226 117.31 120.00 90.00
Closest atoms and distances in Å follow each position.
Fractional coordinates of all 16 atoms:
O1 0.2230 0.6801 0.9570  1 In 2.33, 2 Sm 2.39
O2 0.7770 0.3199 0.0430  1 In 2.33, 2 Sm 2.39
O3 0.2231 0.6802 0.4463  1 In 2.34, 2 Sm 2.39
O4 0.2660 0.3199 0.0430  1 In 2.33, 2 Sm 2.39
O5 0.2740 0.3218 0.5480  3 Sm 2.37
O6 0.7340 0.6801 0.9570  1 In 2.33, 2 Sm 2.39
O7 0.7260 0.6782 0.4520  3 Sm 2.37
O8 0.7769 0.3198 0.5537  1 In 2.34, 2 Sm 2.39
Rb1 0.0000 0.0000 0.0000  6 O 2.93-2.95
Rb2 0.5000 0.0000 0.5000  6 O 2.93-2.95
Rb3 0.0000 0.0000 0.5000  6 O 2.93-2.95
Rb4 0.5000 0.0000 0.0000  6 O 2.97
Sm1 0.5000 0.5000 0.0000  6 O 2.37-2.39
Sm2 0.5000 0.5000 0.5000  6 O 2.37-2.39
Sm3 0.0000 0.5000 0.5000  6 O 2.37-2.39
In1 0.0000 0.5000 0.0000  6 O 2.33-2.34

***

DFT (PBE) results for an optimized crystal structure of RbSrInO3.

E_tot: -5.129 eV/atom
E_form (uncorrected): -1.7523 eV per atom

Lattice parameters (Å, degrees): 4.2938 7.3612 7.7782 103.98 90.00 106.96
Closest atoms and distances in Å follow each position.
Fractional coordinates of all 12 atoms:
Sr1 0.3441 0.6883 0.4208  7 O 2.50-2.78
Sr2 0.6559 0.3117 0.5792  7 O 2.50-2.78
O1 0.8579 0.7157 0.2248  1 In 2.06
O2 0.4916 0.9833 0.7011  2 In 2.15
O3 0.5084 0.0167 0.2989  2 In 2.15
O4 0.1421 0.2843 0.7752  1 In 2.06
O5 0.8388 0.6775 0.6457  1 In 2.08
O6 0.1612 0.3225 0.3543  1 In 2.08
In1 0.0088 0.0176 0.2781  4 O 2.06-2.15
In2 0.9912 0.9824 0.7219  4 O 2.06-2.15
Rb1 0.6572 0.3145 0.0719  4 O 2.77-3.06
Rb2 0.3428 0.6855 0.9281  4 O 2.77-3.06

***

DFT (PBE) results for an optimized crystal structure of Rb4Tb3InO8.

E_tot: -6.121 eV/atom
E_form (uncorrected): -2.3608 eV per atom

Lattice parameters (Å, degrees): 7.0002 7.7063 7.0004 117.02 120.00 90.00
Closest atoms and distances in Å follow each position.
Fractional coordinates of all 16 atoms:
O1 0.7292 0.6781 0.9537  1 In 2.32, 2 Tb 2.34
O2 0.7754 0.3219 0.5509  1 In 2.32, 2 Tb 2.34
O3 0.7755 0.3219 0.0463  1 In 2.32, 2 Tb 2.34
O4 0.2708 0.3219 0.0463  1 In 2.32, 2 Tb 2.34
O5 0.7250 0.6751 0.4501  3 Tb 2.32
O6 0.2245 0.6781 0.9537  1 In 2.32, 2 Tb 2.34
O7 0.2246 0.6781 0.4491  1 In 2.32, 2 Tb 2.34
O8 0.2750 0.3249 0.5499  3 Tb 2.32
Tb1 0.5000 0.5000 0.5000  6 O 2.32-2.34
Tb2 0.5000 0.5000 0.0000  6 O 2.32-2.34
Tb3 0.0000 0.5000 0.5000  6 O 2.32-2.34
Rb1 0.5000 0.0000 0.5000  6 O 2.92-2.94
Rb2 0.0000 0.0000 0.0000  6 O 2.92-2.94
Rb3 0.0000 0.0000 0.5000  6 O 2.92-2.94
Rb4 0.5000 0.0000 0.0000  6 O 2.94
In1 0.0000 0.5000 0.0000  6 O 2.32